(one)
First-principles (PBE) data for an optimized crystal structure of LiRuPt2, as listed in Alexandria.

Its total moment is 0.0 μB per formula unit. The calculation puts the volume at 123.86 Å³ per cell.

The structure belongs to space group Imm2 (No. 44); the cell edges are 2.721, 4.439 and 10.254 Å and the angles 90.00°, 90.00° and 90.00°. The distinct sites, in fractional coordinates, are Li at (0.000, 0.000, 0.000), Ru at (0.000, 0.500, 0.207), Pt at (0.000, 0.000, 0.493) and Pt at (0.000, 0.500, 0.763).

=====

(two)
First-principles (PBE) data for an optimized crystal structure of LiRuPt2, as listed in Alexandria.

Its total moment is 1.0 μB per formula unit. The calculation puts the volume at 57.20 Å³ per cell.

The structure belongs to space group P4/mmm (No. 123); the cell edges are 3.878, 3.878 and 3.804 Å and the angles 90.00°, 90.00° and 90.00°. The distinct sites, in fractional coordinates, are Li at (0.000, 0.000, 0.000), Ru at (0.500, 0.500, 0.000) and Pt at (0.000, 0.500, 0.500).

=====

(three)
First-principles (PBE) data for an optimized crystal structure of LiRuPt2, as listed in Alexandria.

Its total moment is 0.0 μB per formula unit. The calculation puts the volume at 57.17 Å³ per cell.

The structure belongs to space group Pmmm (No. 47); the cell edges are 2.725, 3.892 and 5.391 Å and the angles 90.00°, 90.00° and 90.00°. The distinct sites, in fractional coordinates, are Li at (0.000, 0.000, 0.000), Ru at (0.000, 0.000, 0.500) and Pt at (0.500, 0.500, 0.249).

=====

(four)
First-principles (PBE) data for an optimized crystal structure of LiRuPt2, as listed in Alexandria.

Its total moment is 0.0 μB per formula unit. The calculation puts the volume at 113.29 Å³ per cell.

The structure belongs to space group I4/mmm (No. 139); the cell edges are 3.854, 3.854 and 7.628 Å and the angles 90.00°, 90.00° and 90.00°. The distinct sites, in fractional coordinates, are Li at (0.000, 0.000, 0.000), Ru at (0.000, 0.000, 0.500) and Pt at (0.000, 0.500, 0.250).

=====

We find (three) to be the most stable, with the next structure 2.4 kJ/mol of atoms higher.

=====

(one)
First-principles (PBE) data for an optimized crystal structure of LiRuPt3, as listed in Alexandria.

Its total moment is 3.0 μB per formula unit. The calculation puts the volume at 74.86 Å³ per cell.

The structure belongs to space group Pm-3m (No. 221); the cell edges are 4.215, 4.215 and 4.215 Å and the angles 90.00°, 90.00° and 90.00°. The distinct sites, in fractional coordinates, are Li at (0.000, 0.000, 0.000), Ru at (0.500, 0.500, 0.500) and Pt at (0.000, 0.000, 0.500).

=====

(two)
First-principles (PBE) data for an optimized crystal structure of LiRuPt3, as listed in Alexandria.

Its total moment is 0.0 μB per formula unit. The calculation puts the volume at 112.39 Å³ per cell.

The structure belongs to space group Pm-3m (No. 221); the cell edges are 4.826, 4.826 and 4.826 Å and the angles 90.00°, 90.00° and 90.00°. The distinct sites, in fractional coordinates, are Li at (0.000, 0.000, 0.000), Ru at (0.500, 0.500, 0.500) and Pt at (0.000, 0.500, 0.500).

=====

We find (one) to be the most stable, with the next structure 25.3 kJ/mol of atoms higher.